(1)
This record from Alexandria via LeMat-Bulk describes a geometry-optimized Pm4Ge3H structure. The functional is PBE-GGA.

Total energy, eV/atom: -5.1565
Total magnetic moment, μB/f.u.: 0.00

a b c (Å): 11.844 5.946 5.950
angles (deg): 90.00 90.00 90.00
Space group Pmn2_1 (No. 31)
Inequivalent atoms, fractional coordinates:
Pm1 0.000 0.216 0.000 x2
Pm2 0.000 0.750 0.463 x2
Pm3 0.249 0.252 0.499 x4
Ge1 0.000 0.250 0.502 x2
Ge2 0.250 0.249 0.001 x4
H1 0.000 0.806 0.055 x2

(2)
This record from Alexandria via LeMat-Bulk describes a geometry-optimized Pm2GeH3 structure. The functional is PBE-GGA.

Total energy, eV/atom: -4.6512
Energy above the most stable polymorph in this dataset, eV per formula unit: 0.201
Total magnetic moment, μB/f.u.: 0.00

a b c (Å): 14.275 3.952 7.579
angles (deg): 90.00 116.88 90.00
Space group C2/m (No. 12)
Inequivalent atoms, fractional coordinates:
Pm1 0.026 0.000 0.280 x4
Pm2 0.216 0.500 0.705 x4
Ge1 0.102 0.500 0.044 x4
H1 0.068 0.500 0.433 x4
H2 0.113 0.000 0.652 x4
H3 0.201 0.000 0.494 x4

(3)
This record from Alexandria via LeMat-Bulk describes a geometry-optimized Pm4GeH2 structure. The functional is PBE-GGA.

Total energy, eV/atom: -4.7822
Total magnetic moment, μB/f.u.: 0.49

a b c (Å): 9.686 9.686 7.034
angles (deg): 90.00 90.00 90.00
Space group I-42d (No. 122)
Inequivalent atoms, fractional coordinates:
Pm1 0.056 0.203 0.352 x16
Ge1 0.000 0.000 0.000 x4
H1 0.069 0.750 0.625 x8

(4)
This record from Alexandria via LeMat-Bulk describes a geometry-optimized Pm2GeH3 structure. The functional is PBE-GGA.

Total energy, eV/atom: -4.6847
Energy above the most stable polymorph in this dataset, eV per formula unit: 0.000
Total magnetic moment, μB/f.u.: 0.00

a b c (Å): 12.190 4.019 9.278
angles (deg): 90.00 125.26 90.00
Space group C2/m (No. 12)
Inequivalent atoms, fractional coordinates:
Pm1 0.059 0.000 0.338 x4
Pm2 0.178 0.500 0.098 x4
Ge1 0.126 0.500 0.626 x4
H1 0.035 0.500 0.189 x4
H2 0.110 0.000 0.142 x4
H3 0.149 0.000 0.935 x4